A plane-wave DFT calculation with PBE-GGA was carried out for a relaxed CdGaCl3 crystal.

Geometry as POSCAR:
```
CdGaCl3
1.0
-3.012 -4.059 -1.279
3.686 -1.705 -3.270
2.128 -2.794 3.854
Cl Ga Cd
3 1 1
Cartesian
-1.506 -2.029 -0.640
1.064 -1.397 1.927
1.843 -0.852 -1.635
1.400 -4.279 -0.348
0.000 0.000 0.000
```

Summary:
The density of states at the Fermi level is 0.000 states/eV/atom. The value obtained for the formation energy from raw total energies is -0.817 eV per atom. As for the crystal system: cubic. As for the total energy: -2.71 eV per atom. As for the space group: Pm-3m (221).